[1]
# AcLaYCd GGA-PBE optimized geometry
# E_form ... -0.149 eV/atom
# Final energy ... -4.2527 eV/atom
# ρ ... 7.01 g/cm³
data_AcLaYCd
_chemical_formula_sum 'Ac1 La1 Y1 Cd1'
_cell_length_a 3.834
_cell_length_b 3.834
_cell_length_c 9.140
_cell_angle_alpha 90.00
_cell_angle_beta 90.00
_cell_angle_gamma 90.00
_space_group_name_H-M_alt 'P 1'
_space_group_IT_number 1
loop_
_space_group_symop_operation_xyz
'x,y,z'
loop_
_atom_site_label
_atom_site_fract_x
_atom_site_fract_y
_atom_site_fract_z
Y1 0.500 0.500 0.363
La1 0.500 0.500 0.786
Ac1 0.000 0.000 0.080
Cd1 0.000 0.000 0.555

[2]
# AcLaYCd GGA-PBE optimized geometry
# E_form ... 0.034 eV/atom
# Final energy ... -4.0694 eV/atom
# ρ ... 7.06 g/cm³
data_AcLaYCd
_chemical_formula_sum 'Ac1 La1 Y1 Cd1'
_cell_length_a 5.735
_cell_length_b 5.735
_cell_length_c 5.735
_cell_angle_alpha 60.00
_cell_angle_beta 60.00
_cell_angle_gamma 60.00
_space_group_name_H-M_alt 'P 1'
_space_group_IT_number 1
loop_
_space_group_symop_operation_xyz
'x,y,z'
loop_
_atom_site_label
_atom_site_fract_x
_atom_site_fract_y
_atom_site_fract_z
La1 0.250 0.250 0.250
Y1 0.750 0.750 0.750
Ac1 0.500 0.500 0.500
Cd1 0.000 0.000 0.000

[3]
# Ac2La5Zn2Cd GGA-PBE optimized geometry
# E_form ... -0.168 eV/atom
# Final energy ... -3.7992 eV/atom
# ρ ... 6.81 g/cm³
data_Ac2La5Zn2Cd
_chemical_formula_sum 'Ac4 La10 Zn4 Cd2'
_cell_length_a 3.988
_cell_length_b 13.043
_cell_length_c 13.043
_cell_angle_alpha 90.00
_cell_angle_beta 90.00
_cell_angle_gamma 90.00
_space_group_name_H-M_alt 'P 1'
_space_group_IT_number 1
loop_
_space_group_symop_operation_xyz
'x,y,z'
loop_
_atom_site_label
_atom_site_fract_x
_atom_site_fract_y
_atom_site_fract_z
La1 0.500 0.945 0.201
La2 0.500 0.055 0.799
Ac1 0.000 0.181 0.319
La3 0.500 0.201 0.055
La4 0.500 0.799 0.945
Zn1 0.000 0.629 0.871
Zn2 0.000 0.371 0.129
La5 0.500 0.701 0.445
La6 0.500 0.555 0.701
Zn3 0.000 0.129 0.629
Ac2 0.000 0.819 0.681
Zn4 0.000 0.871 0.371
Cd1 0.000 0.000 0.000
La7 0.500 0.299 0.555
Cd2 0.000 0.500 0.500
La8 0.500 0.500 0.000
La9 0.500 0.445 0.299
La10 0.500 0.000 0.500
Ac3 0.000 0.319 0.819
Ac4 0.000 0.681 0.181

[4]
# Li3AcCd GGA-PBE optimized geometry
# E_form ... 0.021 eV/atom
# Final energy ... -2.1321 eV/atom
# ρ ... 4.68 g/cm³
data_Li3AcCd
_chemical_formula_sum 'Li6 Ac2 Cd2'
_cell_length_a 6.032
_cell_length_b 6.999
_cell_length_c 6.999
_cell_angle_alpha 120.07
_cell_angle_beta 90.00
_cell_angle_gamma 90.00
_space_group_name_H-M_alt 'P 1'
_space_group_IT_number 1
loop_
_space_group_symop_operation_xyz
'x,y,z'
loop_
_atom_site_label
_atom_site_fract_x
_atom_site_fract_y
_atom_site_fract_z
Li1 0.750 0.616 0.808
Li2 0.750 0.192 0.808
Ac1 0.750 0.667 0.334
Cd1 0.000 0.000 0.000
Li3 0.250 0.808 0.192
Cd2 0.500 0.000 0.000
Li4 0.250 0.384 0.192
Li5 0.750 0.192 0.384
Li6 0.250 0.808 0.616
Ac2 0.250 0.333 0.666

[5]
# Li2AcCd GGA-PBE optimized geometry
# E_form ... -0.091 eV/atom
# Final energy ... -2.3040 eV/atom
# ρ ... 5.31 g/cm³
data_Li2AcCd
_chemical_formula_sum 'Li2 Ac1 Cd1'
_cell_length_a 4.851
_cell_length_b 4.851
_cell_length_c 6.098
_cell_angle_alpha 66.56
_cell_angle_beta 66.56
_cell_angle_gamma 60.00
_space_group_name_H-M_alt 'P 1'
_space_group_IT_number 1
loop_
_space_group_symop_operation_xyz
'x,y,z'
loop_
_atom_site_label
_atom_site_fract_x
_atom_site_fract_y
_atom_site_fract_z
Ac1 0.498 0.498 0.505
Li1 0.000 0.000 0.000
Cd1 0.705 0.705 0.884
Li2 0.296 0.296 0.111

[6]
# Li7AcCd4 GGA-PBE optimized geometry
# E_form ... -0.048 eV/atom
# Final energy ... -1.8119 eV/atom
# ρ ... 4.38 g/cm³
data_Li7AcCd4
_chemical_formula_sum 'Li7 Ac1 Cd4'
_cell_length_a 5.435
_cell_length_b 9.253
_cell_length_c 6.335
_cell_angle_alpha 81.11
_cell_angle_beta 64.60
_cell_angle_gamma 72.92
_space_group_name_H-M_alt 'P 1'
_space_group_IT_number 1
loop_
_space_group_symop_operation_xyz
'x,y,z'
loop_
_atom_site_label
_atom_site_fract_x
_atom_site_fract_y
_atom_site_fract_z
Li1 0.659 0.387 0.294
Cd1 0.332 0.889 0.446
Li2 0.895 0.432 0.778
Li3 0.500 0.000 0.000
Cd2 0.668 0.111 0.554
Cd3 0.376 0.317 0.931
Li4 0.341 0.613 0.706
Ac1 0.000 0.000 0.000
Li5 0.105 0.568 0.222
Li6 0.803 0.791 0.602
Cd4 0.624 0.683 0.069
Li7 0.197 0.209 0.398

[7]
# LiAc2Cd3 GGA-PBE optimized geometry
# E_form ... -0.266 eV/atom
# Final energy ... -2.4124 eV/atom
# ρ ... 7.52 g/cm³
data_LiAc2Cd3
_chemical_formula_sum 'Li2 Ac4 Cd6'
_cell_length_a 6.426
_cell_length_b 6.426
_cell_length_c 9.747
_cell_angle_alpha 103.12
_cell_angle_beta 103.12
_cell_angle_gamma 108.14
_space_group_name_H-M_alt 'P 1'
_space_group_IT_number 1
loop_
_space_group_symop_operation_xyz
'x,y,z'
loop_
_atom_site_label
_atom_site_fract_x
_atom_site_fract_y
_atom_site_fract_z
Li1 0.333 0.333 0.667
Cd1 0.170 0.170 0.339
Ac1 0.754 0.754 0.000
Ac2 0.750 0.250 0.500
Cd2 0.171 0.659 0.830
Cd3 0.659 0.171 0.830
Li2 0.667 0.667 0.333
Cd4 0.829 0.341 0.170
Cd5 0.341 0.829 0.170
Ac3 0.246 0.246 0.000
Cd6 0.830 0.830 0.661
Ac4 0.250 0.750 0.500

[8]
# LiAcCd GGA-PBE optimized geometry
# E_form ... -0.116 eV/atom
# Final energy ... -2.4283 eV/atom
# ρ ... 6.61 g/cm³
data_LiAcCd
_chemical_formula_sum 'Li1 Ac1 Cd1'
_cell_length_a 3.913
_cell_length_b 3.913
_cell_length_c 6.318
_cell_angle_alpha 108.04
_cell_angle_beta 108.04
_cell_angle_gamma 90.00
_space_group_name_H-M_alt 'P 1'
_space_group_IT_number 1
loop_
_space_group_symop_operation_xyz
'x,y,z'
loop_
_atom_site_label
_atom_site_fract_x
_atom_site_fract_y
_atom_site_fract_z
Ac1 0.613 0.613 0.226
Cd1 0.922 0.922 0.843
Li1 0.315 0.315 0.631

[9]
# Li2Ac4Cd5 GGA-PBE optimized geometry
# E_form ... -0.136 eV/atom
# Final energy ... -2.3940 eV/atom
# ρ ... 7.19 g/cm³
data_Li2Ac4Cd5
_chemical_formula_sum 'Li2 Ac4 Cd5'
_cell_length_a 4.129
_cell_length_b 8.030
_cell_length_c 10.366
_cell_angle_alpha 94.17
_cell_angle_beta 90.00
_cell_angle_gamma 90.00
_space_group_name_H-M_alt 'P 1'
_space_group_IT_number 1
loop_
_space_group_symop_operation_xyz
'x,y,z'
loop_
_atom_site_label
_atom_site_fract_x
_atom_site_fract_y
_atom_site_fract_z
Cd1 0.000 0.500 0.000
Ac1 0.500 0.274 0.434
Cd2 0.000 0.809 0.839
Li1 0.000 0.062 0.637
Ac2 0.500 0.726 0.566
Cd3 0.000 0.431 0.703
Cd4 0.000 0.191 0.161
Ac3 0.500 0.178 0.883
Li2 0.000 0.938 0.363
Cd5 0.000 0.569 0.297
Ac4 0.500 0.822 0.117

[10]
# Li2AcCd2 GGA-PBE optimized geometry
# E_form ... -0.193 eV/atom
# Final energy ... -2.1467 eV/atom
# ρ ... 5.86 g/cm³
data_Li2AcCd2
_chemical_formula_sum 'Li4 Ac2 Cd4'
_cell_length_a 4.355
_cell_length_b 4.355
_cell_length_c 13.917
_cell_angle_alpha 90.00
_cell_angle_beta 90.00
_cell_angle_gamma 90.00
_space_group_name_H-M_alt 'P 1'
_space_group_IT_number 1
loop_
_space_group_symop_operation_xyz
'x,y,z'
loop_
_atom_site_label
_atom_site_fract_x
_atom_site_fract_y
_atom_site_fract_z
Ac1 0.249 0.249 0.750
Li1 0.751 0.249 0.000
Li2 0.249 0.751 0.500
Cd1 0.251 0.251 0.365
Ac2 0.751 0.751 0.250
Cd2 0.251 0.251 0.135
Cd3 0.749 0.749 0.635
Li3 0.751 0.249 0.500
Li4 0.249 0.751 0.000
Cd4 0.749 0.749 0.865

[11]
# Li4Ac5Cd4 GGA-PBE optimized geometry
# E_form ... -0.149 eV/atom
# Final energy ... -2.5997 eV/atom
# ρ ... 6.72 g/cm³
data_Li4Ac5Cd4
_chemical_formula_sum 'Li4 Ac5 Cd4'
_cell_length_a 5.141
_cell_length_b 9.170
_cell_length_c 9.170
_cell_angle_alpha 85.49
_cell_angle_beta 73.72
_cell_angle_gamma 73.72
_space_group_name_H-M_alt 'P 1'
_space_group_IT_number 1
loop_
_space_group_symop_operation_xyz
'x,y,z'
loop_
_atom_site_label
_atom_site_fract_x
_atom_site_fract_y
_atom_site_fract_z
Cd1 0.729 0.316 0.226
Li1 0.102 0.456 0.340
Cd2 0.271 0.684 0.774
Ac1 0.638 0.661 0.062
Ac2 0.300 0.062 0.339
Ac3 0.000 0.000 0.000
Li2 0.442 0.660 0.456
Ac4 0.362 0.339 0.938
Ac5 0.700 0.938 0.661
Cd3 0.955 0.774 0.316
Li3 0.558 0.340 0.544
Li4 0.898 0.544 0.660
Cd4 0.045 0.226 0.684

[12]
# Li9AcCd2 GGA-PBE optimized geometry
# E_form ... -0.025 eV/atom
# Final energy ... -1.9550 eV/atom
# ρ ... 3.35 g/cm³
data_Li9AcCd2
_chemical_formula_sum 'Li9 Ac1 Cd2'
_cell_length_a 5.827
_cell_length_b 5.827
_cell_length_c 9.292
_cell_angle_alpha 71.73
_cell_angle_beta 71.73
_cell_angle_gamma 60.00
_space_group_name_H-M_alt 'P 1'
_space_group_IT_number 1
loop_
_space_group_symop_operation_xyz
'x,y,z'
loop_
_atom_site_label
_atom_site_fract_x
_atom_site_fract_y
_atom_site_fract_z
Li1 0.400 0.925 0.275
Cd1 0.139 0.139 0.584
Li2 0.600 0.075 0.725
Li3 0.600 0.600 0.725
Ac1 0.000 0.000 0.000
Li4 0.075 0.600 0.725
Li5 0.662 0.662 0.013
Li6 0.925 0.400 0.275
Cd2 0.861 0.861 0.416
Li7 0.500 0.500 0.500
Li8 0.400 0.400 0.275
Li9 0.338 0.338 0.987